Record 1
KTh3C4N12 | GGA-PBE | relaxed

Computed properties:
Uncorrected energy = -8.243 eV/atom
ΔE_f (raw) = -0.2354 eV/atom

Cell lengths 6.9531, 6.9531, 6.9531 Å; angles 101.61, 101.61, 101.61 degrees
With the nearest neighbours (Å) after each atom.
Fractional coordinates of all 20 atoms:
C (0.9901, 0.0099, 0.5000)  3 N 1.29-1.34
C (0.5000, 0.5000, 0.5000)  3 N 1.36
C (0.0099, 0.5000, 0.9901)  3 N 1.29-1.34
C (0.5000, 0.9901, 0.0099)  3 N 1.29-1.34
N (0.8899, 0.5000, 0.1101)  1 C 1.29
N (0.9612, 0.1731, 0.4336)  1 C 1.34
N (0.5000, 0.1101, 0.8899)  1 C 1.29
N (0.3735, 0.6265, 0.5000)  1 C 1.36
N (0.6265, 0.5000, 0.3735)  1 C 1.36
N (0.1731, 0.4336, 0.9612)  1 C 1.34
N (0.0388, 0.5664, 0.8269)  1 C 1.34
N (0.5664, 0.8269, 0.0388)  1 C 1.34
N (0.1101, 0.8899, 0.5000)  1 C 1.29
N (0.8269, 0.0388, 0.5664)  1 C 1.34
N (0.5000, 0.3735, 0.6265)  1 C 1.36
N (0.4336, 0.9612, 0.1731)  1 C 1.34
Th (0.4680, 0.0000, 0.5320)  6 N 2.40-2.50
Th (0.0000, 0.5320, 0.4680)  6 N 2.40-2.50
Th (0.5320, 0.4680, 0.0000)  6 N 2.40-2.50
K (0.0000, 0.0000, 0.0000)  6 N 3.10

Record 2
MnBeAu3 | GGA-PBE | relaxed

Computed properties:
Uncorrected energy = -4.341 eV/atom
Energy of formation = 0.205 eV per atom

Cell lengths 4.4357, 4.4357, 4.4357 Å; angles 90.00, 90.00, 90.00 degrees
With the nearest neighbours (Å) after each atom.
Fractional coordinates of all 5 atoms:
Au (0.5000, 0.0000, 0.0000)  2 Be 2.22
Au (0.0000, 0.0000, 0.5000)  2 Be 2.22
Au (0.0000, 0.5000, 0.0000)  2 Be 2.22
Mn (0.5000, 0.5000, 0.5000)  12 Au 3.14
Be (0.0000, 0.0000, 0.0000)  6 Au 2.22

Record 3
Rb2TmPuO4 | GGA-PBE | relaxed

Computed properties:
Uncorrected energy = -7.582 eV/atom
ΔE_f (raw) = -2.5111 eV/atom

Cell lengths 3.5302, 6.1305, 6.8592 Å; angles 107.27, 90.00, 90.00 degrees
With the nearest neighbours (Å) after each atom.
Fractional coordinates of all 8 atoms:
O (0.0000, 0.7327, 0.1742)  1 Tm 2.30, 2 Pu 2.36
O (0.5000, 0.7845, 0.8254)  2 Tm 2.31, 1 Pu 2.39
O (0.0000, 0.2673, 0.8258)  1 Tm 2.30, 2 Pu 2.36
O (0.5000, 0.2155, 0.1746)  2 Tm 2.31, 1 Pu 2.39
Pu (0.5000, 0.5000, 0.0000)  6 O 2.36-2.39
Rb (0.5000, 0.0000, 0.5000)  6 O 2.91-2.94
Rb (0.0000, 0.5000, 0.5000)  6 O 2.97-2.99
Tm (0.0000, 0.0000, 0.0000)  6 O 2.30-2.31

Record 4
Cs2Ba2US6 | GGA-PBE | relaxed

Computed properties:
Uncorrected energy = -5.373 eV/atom
ΔE_f (raw) = -1.5907 eV/atom

Cell lengths 7.6006, 7.6006, 8.5050 Å; angles 98.92, 98.92, 118.21 degrees
With the nearest neighbours (Å) after each atom.
Fractional coordinates of all 11 atoms:
S (0.6607, 0.9425, 0.3189)  1 U 2.59
S (0.2085, 0.2085, 0.3149)  1 U 2.58
S (0.9425, 0.6607, 0.3189)  1 U 2.59
S (0.0575, 0.3393, 0.6811)  1 U 2.59
S (0.7915, 0.7915, 0.6851)  1 U 2.58
S (0.3393, 0.0575, 0.6811)  1 U 2.59
Ba (0.3367, 0.6633, 0.5000)  6 S 3.14-3.19
Ba (0.6633, 0.3367, 0.5000)  6 S 3.14-3.19
Cs (0.1731, 0.8269, 0.0000)  6 S 3.51-3.86
Cs (0.8269, 0.1731, 0.0000)  6 S 3.51-3.86
U (0.0000, 0.0000, 0.5000)  6 S 2.58-2.59